Here is a geometry-optimized Pm2ScTiO6 structure from Alexandria via LeMat-Bulk. Energies are from PBE.

Lattice parameters (Å, degrees): 5.532 5.793 7.902 90.00 90.73 90.00
Element x y z (fractional)
Sc  0.000  0.500  0.500
O  0.300  0.696  0.054
Pm  0.518  0.564  0.749
O  0.392  0.965  0.744
Pm  0.018  0.936  0.249
O  0.306  0.701  0.443
O  0.700  0.304  0.946
O  0.694  0.299  0.557
Ti  0.000  0.500  0.000
O  0.608  0.035  0.256
O  0.800  0.804  0.554
O  0.806  0.799  0.943
Sc  0.500  0.000  0.000
O  0.194  0.201  0.057
O  0.892  0.535  0.244
O  0.108  0.465  0.756
Pm  0.982  0.064  0.751
O  0.200  0.196  0.446
Pm  0.482  0.436  0.251
Ti  0.500  0.000  0.500

- formation energy without anion corrections (eV per atom) = -3.312
- mass density (Mg/m³) = 6.28
- N(E_F) (states/eV per atom) = 0.30
- total magnetic moment (μB/atom) = 0.1008